Record 1
Material: Tb2DyY3P6
Method: DFT, PBE
State: relaxed

M_tot: 0.00 μB/f.u.
raw total energy: -0.2608 Ha/atom
energy relative to the elements: -1.62 eV per atom

Cell lengths 6.958, 6.958, 6.959 Å; angles 99.58, 99.58, 119.99 degrees
Fractional positions:
Tb: 0.333 0.667 0.000
Tb: 0.667 0.333 0.000
P: 0.083 0.416 0.250
P: 0.917 0.584 0.750
P: 0.416 0.083 0.250
P: 0.249 0.249 0.750
Y: 0.500 0.500 0.500
Y: 0.167 0.833 0.500
Y: 0.833 0.167 0.500
Dy: 0.000 0.000 0.000
P: 0.584 0.917 0.750
P: 0.751 0.751 0.250

=====

Record 2
Material: SrMgRu3
Method: DFT, PBE
State: relaxed

relative energy among the computed polymorphs: 0.0 kJ/mol of atoms
M_tot: 2.16 μB/f.u.
raw total energy: -0.1814 Ha/atom
energy relative to the elements: 1.28 eV per atom

Cell lengths 4.709, 4.709, 4.709 Å; angles 90.00, 90.00, 90.00 degrees
Fractional positions:
Ru: 0.000 0.000 0.500
Ru: 0.500 0.000 0.000
Mg: 0.000 0.000 0.000
Ru: 0.000 0.500 0.000
Sr: 0.500 0.500 0.500

=====

Record 3
Material: YScBeAg
Method: DFT, PBE
State: relaxed

M_tot: 0.00 μB/f.u.
raw total energy: -0.1803 Ha/atom
energy relative to the elements: -0.06 eV per atom

Cell lengths 4.877, 4.877, 4.877 Å; angles 60.00, 60.00, 60.00 degrees
Fractional positions:
Be: 0.500 0.500 0.500
Sc: 0.250 0.250 0.250
Y: 0.750 0.750 0.750
Ag: 0.000 0.000 0.000

=====

Record 4
Material: Ba5Au2
Method: DFT, PBE
State: relaxed

M_tot: 0.00 μB/f.u.
raw total energy: -0.1012 Ha/atom
energy relative to the elements: -0.44 eV per atom

Cell lengths 7.729, 8.582, 10.567 Å; angles 97.26, 111.45, 90.00 degrees
Fractional positions:
Ba: 0.788 0.316 0.427
Ba: 0.212 0.684 0.573
Ba: 0.638 0.816 0.427
Au: 0.587 0.919 0.777
Ba: 0.362 0.184 0.573
Ba: 0.189 0.414 0.191
Ba: 0.574 0.250 0.000
Ba: 0.811 0.586 0.809
Au: 0.413 0.081 0.223
Ba: 0.003 0.914 0.191
Ba: 0.997 0.086 0.809
Au: 0.809 0.581 0.223
Ba: 0.426 0.750 0.000
Au: 0.191 0.419 0.777

=====

Record 5
Material: LiTbCoBi
Method: DFT, PBE
State: relaxed

M_tot: 0.00 μB/f.u.
raw total energy: -0.1728 Ha/atom
energy relative to the elements: -0.32 eV per atom

Cell lengths 4.692, 4.692, 4.692 Å; angles 60.00, 60.00, 60.00 degrees
Fractional positions:
Li: 0.250 0.250 0.250
Tb: 0.500 0.500 0.500
Co: 0.750 0.750 0.750
Bi: 0.000 0.000 0.000

=====

Record 6
Material: Tl11Bi4
Method: DFT, PBE
State: relaxed

M_tot: 0.00 μB/f.u.
raw total energy: -0.1002 Ha/atom
energy relative to the elements: 0.04 eV per atom

Cell lengths 6.531, 12.113, 12.113 Å; angles 90.00, 90.00, 90.00 degrees
Fractional positions:
Tl: 0.500 0.433 0.771
Bi: 0.000 0.134 0.546
Tl: 0.000 0.599 0.401
Tl: 0.000 0.067 0.271
Tl: 0.750 0.317 0.317
Tl: 0.500 0.099 0.099
Tl: 0.250 0.317 0.317
Tl: 0.750 0.683 0.683
Tl: 0.000 0.729 0.933
Bi: 0.500 0.954 0.634
Tl: 0.000 0.000 0.000
Bi: 0.500 0.366 0.046
Tl: 0.250 0.683 0.683
Bi: 0.500 0.046 0.366
Tl: 0.750 0.183 0.817
Bi: 0.000 0.546 0.134
Tl: 0.000 0.271 0.067
Tl: 0.500 0.500 0.500
Tl: 0.250 0.817 0.183
Tl: 0.750 0.817 0.183
Tl: 0.000 0.933 0.729
Tl: 0.250 0.183 0.817
Tl: 0.500 0.771 0.433
Bi: 0.000 0.454 0.866
Tl: 0.500 0.901 0.901
Bi: 0.000 0.866 0.454
Tl: 0.500 0.229 0.567
Bi: 0.500 0.634 0.954
Tl: 0.000 0.401 0.599
Tl: 0.500 0.567 0.229

=====

Record 7
Material: DyMn6
Method: DFT, PBE
State: relaxed

relative energy among the computed polymorphs: 0.0 kJ/mol of atoms
M_tot: 2.73 μB/f.u.
raw total energy: -0.3105 Ha/atom
energy relative to the elements: 0.07 eV per atom

Cell lengths 4.789, 7.967, 10.047 Å; angles 90.00, 90.00, 90.00 degrees
Fractional positions:
Mn: 0.984 0.568 0.810
Dy: 0.750 0.745 0.566
Mn: 0.250 0.054 0.907
Mn: 0.016 0.932 0.310
Mn: 0.750 0.585 0.027
Dy: 0.250 0.255 0.434
Mn: 0.750 0.946 0.093
Mn: 0.750 0.694 0.258
Mn: 0.750 0.859 0.858
Mn: 0.750 0.359 0.642
Mn: 0.250 0.806 0.758
Mn: 0.516 0.068 0.690
Mn: 0.250 0.641 0.358
Dy: 0.750 0.245 0.934
Mn: 0.516 0.568 0.810
Mn: 0.250 0.141 0.142
Mn: 0.250 0.915 0.527
Mn: 0.984 0.068 0.690
Mn: 0.250 0.415 0.973
Mn: 0.750 0.085 0.473
Mn: 0.750 0.446 0.407
Mn: 0.484 0.432 0.190
Mn: 0.250 0.554 0.593
Mn: 0.016 0.432 0.190
Mn: 0.250 0.306 0.742
Dy: 0.250 0.755 0.066
Mn: 0.484 0.932 0.310
Mn: 0.750 0.194 0.242

=====

Record 8
Material: K3MnGe
Method: DFT, PBE
State: relaxed

M_tot: 6.00 μB/f.u.
raw total energy: -0.0961 Ha/atom
energy relative to the elements: 0.80 eV per atom

Cell lengths 6.106, 6.106, 6.106 Å; angles 90.00, 90.00, 90.00 degrees
Fractional positions:
Mn: 0.500 0.500 0.500
K: 0.000 0.500 0.000
K: 0.500 0.000 0.000
K: 0.000 0.000 0.500
Ge: 0.000 0.000 0.000

=====

Record 9
Material: Si2H6O
Method: DFT, PBE
State: relaxed

M_tot: 0.00 μB/f.u.
raw total energy: -0.1628 Ha/atom

Cell lengths 4.987, 8.001, 13.378 Å; angles 90.00, 90.00, 90.00 degrees
Fractional positions:
H: 0.910 0.195 0.668
H: 0.562 0.140 0.983
H: 0.960 0.977 0.023
H: 0.590 0.805 0.168
H: 0.750 0.238 0.207
H: 0.062 0.360 0.017
O: 0.124 0.555 0.662
H: 0.040 0.477 0.477
Si: 0.460 0.273 0.224
Si: 0.744 0.004 0.948
H: 0.438 0.640 0.517
H: 0.540 0.023 0.523
H: 0.793 0.369 0.812
H: 0.912 0.154 0.434
Si: 0.960 0.227 0.776
H: 0.588 0.846 0.934
H: 0.412 0.346 0.566
Si: 0.244 0.496 0.052
H: 0.707 0.631 0.312
H: 0.750 0.762 0.707
H: 0.250 0.262 0.793
H: 0.207 0.869 0.688
Si: 0.256 0.504 0.552
H: 0.293 0.131 0.188
O: 0.376 0.445 0.162
H: 0.410 0.305 0.332
H: 0.938 0.860 0.483
H: 0.460 0.523 0.977
H: 0.088 0.654 0.066
Si: 0.756 0.996 0.448
O: 0.624 0.945 0.338
Si: 0.540 0.773 0.276
H: 0.250 0.738 0.293
Si: 0.040 0.727 0.724
H: 0.090 0.695 0.832
O: 0.876 0.055 0.838

=====

Record 10
Material: KPm4Hg5
Method: DFT, PBE
State: relaxed

M_tot: 1.14 μB/f.u.
raw total energy: -0.0946 Ha/atom
energy relative to the elements: -0.41 eV per atom

Cell lengths 3.821, 3.821, 19.997 Å; angles 90.00, 90.00, 90.00 degrees
Fractional positions:
Pm: 0.000 0.000 0.215
Hg: 0.500 0.500 0.310
Pm: 0.000 0.000 0.785
Pm: 0.000 0.000 0.405
Hg: 0.500 0.500 0.690
K: 0.000 0.000 0.000
Hg: 0.500 0.500 0.126
Pm: 0.000 0.000 0.595
Hg: 0.500 0.500 0.874
Hg: 0.500 0.500 0.500